Computed, not measured: a relaxed structure of CuPSe2N at the PBE level of DFT.

The structure in POSCAR format:
```
CuPSe2N
1.0
4.9271 0.0000 0.0000
0.0000 4.9271 0.0000
0.0000 0.0000 3.5667
Se N P Cu
2 1 1 1
Direct
0.0000 0.5000 0.0000 Se
0.5000 0.0000 0.0000 Se
0.0000 0.0000 0.5000 N
0.5000 0.5000 0.5000 P
0.0000 0.0000 0.0000 Cu
```

As for the crystal system: tetragonal. The value obtained for the energy relative to the elements, uncorrected is 1.0859 eV/atom. Its energy relative to the lowest polymorph listed for this composition is 483 meV per atom. The total magnetization comes out at 0.323 μB per atom. As for the space group: No. 123.

=====

Computed, not measured: a relaxed structure of ThCrS4 at the PBE level of DFT.

The structure in POSCAR format:
```
ThCrS4
1.0
5.1787 0.0000 0.0094
0.0000 7.1568 0.0000
-0.0121 0.0000 6.4257
S Th Cr
8 2 2
Direct
0.2502 0.2501 0.3318 S
0.2498 0.7501 0.6682 S
0.5000 0.1404 0.8256 S
0.5000 0.8596 0.1744 S
0.7498 0.7499 0.6682 S
0.7502 0.2499 0.3318 S
0.0000 0.3596 0.8256 S
0.0000 0.6404 0.1744 S
0.0000 0.0000 0.0000 Th
0.5000 0.5000 0.0000 Th
0.5000 0.0000 0.5000 Cr
0.0000 0.5000 0.5000 Cr
```

As for the crystal system: orthorhombic. The value obtained for the energy relative to the elements, uncorrected is -1.0985 eV/atom. The total magnetization comes out at 0.535 μB per atom. As for the space group: No. 53.

=====

Question: What is the energy relative to the elements, uncorrected in the first record?
Answer: 1.0859 eV/atom

=====

Question: Which of these has the highest energy relative to the elements, uncorrected?
Answer: CuPSe2N